(1)
The following is a PBE calculation of FeSiRuW2 after structural relaxation, from Alexandria.

Calculated values
Space-group type: P4/mmm, No. 123
E_form (uncorrected): 1091 meV per atom
Crystal system: tetragonal
E: -43.612 eV per cell

Lattice parameters (Å, degrees): 4.453 4.086 4.453 90.00 90.00 90.00
Element x y z (fractional)
Si  0.000  0.500  0.000
Ru  0.500  0.500  0.500
W  0.500  0.000  0.000
W  0.000  0.000  0.500
Fe  0.000  0.000  0.000

=====

(2)
The following is a PBE calculation of BeCoB2 after structural relaxation, from Alexandria.

Calculated values
Space-group type: P4/mmm, No. 123
Offset from the most stable computed form: 0.0 meV per atom
Crystal system: tetragonal
E: -23.938 eV per cell

Lattice parameters (Å, degrees): 3.048 3.046 3.046 90.00 90.00 90.00
Element x y z (fractional)
B  0.000  0.000  0.500
Co  0.500  0.000  0.000
B  0.000  0.500  0.000
Be  0.500  0.500  0.500

=====

(3)
The following is a PBE calculation of Sr4BiAsH after structural relaxation, from Alexandria.

Calculated values
Space-group type: I4mm, No. 107
Crystal system: tetragonal
E: -24.268 eV per cell

Lattice parameters (Å, degrees): 4.934 4.934 9.506 105.04 105.04 90.00
Element x y z (fractional)
Bi  0.639  0.639  0.279
Sr  0.997  0.497  0.994
As  0.374  0.374  0.748
Sr  0.497  0.997  0.994
Sr  0.191  0.191  0.383
Sr  0.829  0.829  0.657
H  0.972  0.972  0.945

=====

(4)
The following is a PBE calculation of Pu2ThTi after structural relaxation, from Alexandria.

Calculated values
Space-group type: P4/mmm, No. 123
Offset from the most stable computed form: 0.0 meV per atom
Crystal system: tetragonal
E: -42.986 eV per cell

Lattice parameters (Å, degrees): 3.623 3.623 7.539 90.00 90.00 90.00
Each line ends with the local moment (μB).
Element x y z (fractional)
Pu  0.000  0.000  0.787  5.26
Ti  0.500  0.500  0.000  0.54
Th  0.500  0.500  0.500  0.24
Pu  0.000  0.000  0.213  5.26